No. 1
A PBEsol-optimized structure of BaLaHg2, computed with SCAN.

a b c (Å): 5.617 5.617 3.909
angles (deg): 90.00 90.00 90.00
Positions (direct):
Ba1 0.000 0.000 0.000
La1 0.500 0.500 0.000
Hg1 0.000 0.500 0.500
Hg2 0.500 0.000 0.500

The total energy is -55.406 eV per atom. Its energy of formation from the pure elements is -0.659 eV per atom. The space group is No. 123.

No. 2
A PBEsol-optimized structure of Ba2SrRh, computed with SCAN.

a b c (Å): 4.316 7.393 7.393
angles (deg): 49.66 90.00 90.00
Positions (direct):
Ba1 0.000 0.000 0.000
Ba2 0.500 0.345 0.345
Sr1 0.000 0.703 0.703
Rh1 0.500 0.849 0.849

The total energy is -33.916 eV per atom. Its energy of formation from the pure elements is -0.129 eV per atom. The space group is No. 38.

No. 3
A PBEsol-optimized structure of YCdAg2, computed with SCAN.

a b c (Å): 5.080 5.080 5.080
angles (deg): 127.24 127.24 77.86
Positions (direct):
Y1 0.000 0.000 0.000
Cd1 0.750 0.250 0.500
Ag1 0.250 0.750 0.500
Ag2 0.500 0.500 0.000

The total energy is -30.508 eV per atom. Its energy of formation from the pure elements is -0.260 eV per atom. The space group is No. 119.

No. 4
A PBEsol-optimized structure of CuNi2Os, computed with SCAN.

a b c (Å): 2.530 2.530 8.278
angles (deg): 90.00 90.00 115.70
Positions (direct):
Cu1 0.000 0.000 0.000
Ni1 0.500 0.500 0.244
Ni2 0.500 0.500 0.756
Os1 0.000 0.000 0.500

The total energy is -29.540 eV per atom. Its energy of formation from the pure elements is 0.316 eV per atom. The space group is No. 65.

No. 5
A PBEsol-optimized structure of KTcPt2, computed with SCAN.

a b c (Å): 6.020 6.020 6.020
angles (deg): 154.14 131.79 55.51
Positions (direct):
K1 0.000 0.000 0.000
Tc1 0.714 0.214 0.500
Pt1 0.279 0.779 0.500
Pt2 0.508 0.508 0.000

The total energy is -45.566 eV per atom. Its energy of formation from the pure elements is 0.378 eV per atom. The space group is No. 44.

No. 6
A PBEsol-optimized structure of BaMn2Ni, computed with SCAN.

a b c (Å): 4.675 4.675 4.675
angles (deg): 60.00 60.00 60.00
Positions (direct):
Ba1 0.000 0.000 0.000
Mn1 0.250 0.250 0.250
Mn2 0.750 0.750 0.750
Ni1 0.500 0.500 0.500

The total energy is -22.316 eV per atom. Its energy of formation from the pure elements is 0.742 eV per atom. The space group is No. 225.